one:
A relaxed Al2Ag3 crystal, computed with PBE. Values from VASP.

Its symmetry is R-3c.

```
&SYSTEM
  ibrav = 0, nat = 10, ntyp = 2
/
ATOMIC_SPECIES
Al 26.98 Al.upf
Ag 107.87 Ag.upf
CELL_PARAMETERS angstrom
-4.025 -6.622 -0.492
3.738 -6.788 -0.496
-0.100 -4.725 3.139
ATOMIC_POSITIONS crystal
Al 0.876 0.876 0.371
Al 0.376 0.376 0.871
Al 0.124 0.124 0.629
Al 0.624 0.624 0.129
Ag 0.064 0.750 0.750
Ag 0.750 0.436 0.750
Ag 0.436 0.064 0.750
Ag 0.250 0.564 0.250
Ag 0.564 0.936 0.250
Ag 0.936 0.250 0.250
```

---

two:
A relaxed Al2Ag3 crystal, computed with PBE. Values from VASP.

Its symmetry is P-1.

```
&SYSTEM
  ibrav = 0, nat = 10, ntyp = 2
/
ATOMIC_SPECIES
Ag 107.87 Ag.upf
Al 26.98 Al.upf
CELL_PARAMETERS angstrom
-1.342 6.300 0.814
-4.983 -2.229 -1.784
-2.894 -0.267 4.105
ATOMIC_POSITIONS crystal
Ag 0.009 0.997 0.017
Ag 0.585 0.079 0.188
Ag 0.215 0.221 0.412
Ag 0.791 0.303 0.583
Ag 0.017 0.509 0.980
Ag 0.783 0.791 0.620
Al 0.399 0.397 0.814
Al 0.613 0.598 0.203
Al 0.187 0.702 0.397
Al 0.401 0.903 0.786
```

---

three:
A relaxed Al2Ag3 crystal, computed with PBE. Values from VASP.

Its symmetry is Fdd2.

```
&SYSTEM
  ibrav = 0, nat = 10, ntyp = 2
/
ATOMIC_SPECIES
Ag 107.87 Ag.upf
Al 26.98 Al.upf
CELL_PARAMETERS angstrom
8.411 -0.163 0.104
5.290 4.698 -0.004
3.122 -2.166 4.353
ATOMIC_POSITIONS crystal
Ag 0.757 0.451 0.367
Ag 0.425 0.367 0.451
Ag 0.799 0.493 0.825
Ag 0.883 0.825 0.493
Ag 0.089 0.911 0.911
Ag 0.339 0.161 0.161
Al 0.198 0.900 0.372
Al 0.530 0.372 0.900
Al 0.350 0.052 0.720
Al 0.878 0.720 0.052
```

---

four:
A relaxed Al2Ag3 crystal, computed with PBE. Values from VASP.

Its symmetry is P4_2/m.

```
&SYSTEM
  ibrav = 0, nat = 10, ntyp = 2
/
ATOMIC_SPECIES
Ag 107.87 Ag.upf
Al 26.98 Al.upf
CELL_PARAMETERS angstrom
4.148 0.000 0.000
0.000 6.392 0.000
0.000 0.000 6.392
ATOMIC_POSITIONS crystal
Ag 0.000 0.987 0.002
Ag 0.500 0.102 0.313
Ag 0.000 0.200 0.600
Ag 0.500 0.298 0.887
Ag 0.000 0.413 0.198
Ag 0.500 0.700 0.100
Al 0.500 0.504 0.493
Al 0.000 0.593 0.796
Al 0.000 0.807 0.404
Al 0.500 0.896 0.707
```

---

two ends up most stable, edging out the next structure by 0.013 eV/atom.

---

one:
A relaxed Al2Ag3 crystal, computed with PBE. Values from VASP.

Its symmetry is P1.

```
&SYSTEM
  ibrav = 0, nat = 10, ntyp = 2
/
ATOMIC_SPECIES
Ag 107.87 Ag.upf
Al 26.98 Al.upf
CELL_PARAMETERS angstrom
6.470 0.079 0.061
-1.347 5.627 -0.109
0.608 1.598 4.637
ATOMIC_POSITIONS crystal
Ag 0.005 0.992 0.026
Ag 0.587 0.086 0.204
Ag 0.199 0.199 0.426
Ag 0.791 0.307 0.597
Ag 0.018 0.511 0.981
Ag 0.593 0.602 0.176
Al 0.402 0.397 0.800
Al 0.200 0.694 0.398
Al 0.803 0.808 0.598
Al 0.402 0.903 0.793
```

---

two:
A relaxed Al2Ag3 crystal, computed with PBE. Values from VASP.

Its symmetry is P-1.

```
&SYSTEM
  ibrav = 0, nat = 10, ntyp = 2
/
ATOMIC_SPECIES
Ag 107.87 Ag.upf
Al 26.98 Al.upf
CELL_PARAMETERS angstrom
-6.485 4.412 2.012
-1.692 -1.816 -1.479
-0.268 -5.958 4.809
ATOMIC_POSITIONS crystal
Ag 0.983 0.997 0.005
Ag 0.305 0.404 0.188
Ag 0.600 0.800 0.400
Ag 0.895 0.196 0.612
Ag 0.217 0.603 0.795
Ag 0.100 0.800 0.400
Al 0.506 0.000 0.999
Al 0.800 0.391 0.216
Al 0.400 0.209 0.584
Al 0.694 0.600 0.801
```

---

three:
A relaxed Al2Ag3 crystal, computed with PBE. Values from VASP.

Its symmetry is C2/m.

```
&SYSTEM
  ibrav = 0, nat = 10, ntyp = 2
/
ATOMIC_SPECIES
Al 26.98 Al.upf
Ag 107.87 Ag.upf
CELL_PARAMETERS angstrom
-2.171 -5.625 -2.851
4.364 0.698 -1.815
0.985 -0.994 6.521
ATOMIC_POSITIONS crystal
Al 0.122 0.000 0.878
Al 0.878 0.000 0.122
Al 0.500 0.500 0.000
Al 0.000 0.500 0.500
Ag 0.211 0.560 0.211
Ag 0.789 0.440 0.789
Ag 0.248 0.155 0.524
Ag 0.476 0.845 0.752
Ag 0.524 0.155 0.248
Ag 0.752 0.845 0.476
```

---

four:
A relaxed Al2Ag3 crystal, computed with PBE. Values from VASP.

Its symmetry is P-3m1.

```
&SYSTEM
  ibrav = 0, nat = 5, ntyp = 2
/
ATOMIC_SPECIES
Ag 107.87 Ag.upf
Al 26.98 Al.upf
CELL_PARAMETERS angstrom
4.434 0.000 0.000
-2.217 3.840 0.000
0.000 0.000 5.407
ATOMIC_POSITIONS crystal
Ag 0.000 0.000 0.000
Ag 0.667 0.333 0.646
Ag 0.333 0.667 0.354
Al 0.667 0.333 0.155
Al 0.333 0.667 0.845
```

---

two ends up most stable, edging out the next structure by 0.013 eV/atom.